Material: TlZnCu2B
Method: DFT, PBE
State: relaxed Values from VASP.

## Properties
DOS at the Fermi energy: 0.91 states/eV/f.u.
space group: No. 123
calculated total energy: -2.8832 eV/atom
crystal system: tetragonal
total magnetic moment: 0.00 μB/f.u.

Geometry as Quantum ESPRESSO input:
```
&SYSTEM
  ibrav = 0, nat = 5, ntyp = 4
/
ATOMIC_SPECIES
Cu 63.55 Cu.upf
Zn 65.41 Zn.upf
Tl 204.38 Tl.upf
B 10.81 B.upf
ATOMIC_POSITIONS crystal
Cu 0.500 0.000 0.000
Cu 0.000 0.000 0.500
Zn 0.000 0.000 0.000
Tl 0.500 0.500 0.500
B 0.000 0.500 0.000
CELL_PARAMETERS angstrom
4.715 0.000 0.000
0.000 3.902 0.000
0.000 0.000 4.715
```



Material: CuSiN2
Method: DFT, PBE
State: relaxed Values from VASP.

## Properties
E above lowest polymorph: 0.0 kJ per mole of atoms
DOS at the Fermi energy: 0.77 states/eV/f.u.
space group: No. 122
crystal system: tetragonal
total magnetic moment: 1.00 μB/f.u.

Geometry as Quantum ESPRESSO input:
```
&SYSTEM
  ibrav = 0, nat = 8, ntyp = 3
/
ATOMIC_SPECIES
N 14.01 N.upf
Cu 63.55 Cu.upf
Si 28.09 Si.upf
ATOMIC_POSITIONS crystal
N 0.875 0.821 0.750
N 0.571 0.125 0.250
N 0.375 0.429 0.750
N 0.179 0.625 0.250
Cu 0.000 0.000 0.000
Cu 0.750 0.250 0.500
Si 0.500 0.500 0.000
Si 0.250 0.750 0.500
CELL_PARAMETERS angstrom
4.467 0.000 0.000
0.000 4.467 0.000
2.234 2.234 4.104
```



Material: TiGeN2
Method: DFT, PBE
State: relaxed Values from VASP.

## Properties
DOS at the Fermi energy: 0.30 states/eV/f.u.
space group: No. 166
calculated total energy: -7.8045 eV/atom
crystal system: trigonal
total magnetic moment: 0.00 μB/f.u.

Geometry as Quantum ESPRESSO input:
```
&SYSTEM
  ibrav = 0, nat = 4, ntyp = 3
/
ATOMIC_SPECIES
N 14.01 N.upf
Ge 72.64 Ge.upf
Ti 47.87 Ti.upf
ATOMIC_POSITIONS crystal
N 0.106 0.106 0.106
N 0.894 0.894 0.894
Ge 0.000 0.000 0.000
Ti 0.500 0.500 0.500
CELL_PARAMETERS angstrom
-0.821 -5.959 1.697
2.176 -5.561 1.842
0.418 -4.666 4.137
```



Material: KMo3
Method: DFT, PBE
State: relaxed Values from VASP.

## Properties
E above lowest polymorph: 79.5 kJ per mole of atoms
DOS at the Fermi energy: 4.32 states/eV/f.u.
space group: No. 225
crystal system: cubic
total magnetic moment: 0.00 μB/f.u.

Geometry as Quantum ESPRESSO input:
```
&SYSTEM
  ibrav = 0, nat = 4, ntyp = 2
/
ATOMIC_SPECIES
Mo 95.94 Mo.upf
K 39.10 K.upf
ATOMIC_POSITIONS crystal
Mo 0.250 0.250 0.250
Mo 0.750 0.750 0.750
Mo 0.500 0.500 0.500
K 0.000 0.000 0.000
CELL_PARAMETERS angstrom
-3.372 1.398 -2.900
-4.079 -2.254 -0.091
-3.831 2.045 1.694
```



Material: IrOsF2
Method: DFT, PBE
State: relaxed Values from VASP.

## Properties
E above lowest polymorph: 0.0 kJ per mole of atoms
DOS at the Fermi energy: 4.26 states/eV/f.u.
space group: No. 166
crystal system: trigonal
total magnetic moment: 1.18 μB/f.u.

Geometry as Quantum ESPRESSO input:
```
&SYSTEM
  ibrav = 0, nat = 4, ntyp = 3
/
ATOMIC_SPECIES
F 19.00 F.upf
Ir 192.22 Ir.upf
Os 190.23 Os.upf
ATOMIC_POSITIONS crystal
F 0.935 0.935 0.935
F 0.065 0.065 0.065
Ir 0.000 0.000 0.000
Os 0.500 0.500 0.500
CELL_PARAMETERS angstrom
1.523 0.000 9.834
-0.762 1.319 9.834
-0.762 -1.319 9.834
```



Material: GaReAg3
Method: DFT, PBE
State: relaxed Values from VASP.

## Properties
E above lowest polymorph: 0.0 kJ per mole of atoms
DOS at the Fermi energy: 3.56 states/eV/f.u.
space group: No. 221
crystal system: cubic
total magnetic moment: 3.78 μB/f.u.

Geometry as Quantum ESPRESSO input:
```
&SYSTEM
  ibrav = 0, nat = 5, ntyp = 3
/
ATOMIC_SPECIES
Ga 69.72 Ga.upf
Ag 107.87 Ag.upf
Re 186.21 Re.upf
ATOMIC_POSITIONS crystal
Ga 0.000 0.000 0.000
Ag 0.500 0.000 0.000
Ag 0.000 0.000 0.500
Ag 0.000 0.500 0.000
Re 0.500 0.500 0.500
CELL_PARAMETERS angstrom
4.757 0.000 0.000
0.000 4.757 0.000
0.000 0.000 4.757
```



Material: NaHg4Bi
Method: DFT, PBE
State: relaxed Values from VASP.

## Properties
E above lowest polymorph: 0.0 kJ per mole of atoms
DOS at the Fermi energy: 1.84 states/eV/f.u.
space group: No. 4
crystal system: monoclinic
total magnetic moment: 0.00 μB/f.u.

Geometry as Quantum ESPRESSO input:
```
&SYSTEM
  ibrav = 0, nat = 12, ntyp = 3
/
ATOMIC_SPECIES
Hg 200.59 Hg.upf
Bi 208.98 Bi.upf
Na 22.99 Na.upf
ATOMIC_POSITIONS crystal
Hg 0.762 0.827 0.352
Hg 0.262 0.173 0.648
Hg 0.261 0.487 0.034
Hg 0.261 0.754 0.488
Hg 0.761 0.246 0.512
Hg 0.262 0.329 0.340
Hg 0.762 0.671 0.660
Hg 0.761 0.513 0.966
Bi 0.760 0.093 0.814
Bi 0.260 0.907 0.186
Na 0.760 0.417 0.171
Na 0.260 0.583 0.829
CELL_PARAMETERS angstrom
5.451 0.000 0.000
0.000 3.693 0.867
0.000 -1.870 16.736
```



Material: DyPaGaOs
Method: DFT, PBE
State: relaxed Values from VASP.

## Properties
DOS at the Fermi energy: 5.34 states/eV/f.u.
space group: No. 216
calculated total energy: -7.2951 eV/atom
crystal system: cubic
total magnetic moment: 0.00 μB/f.u.

Geometry as Quantum ESPRESSO input:
```
&SYSTEM
  ibrav = 0, nat = 4, ntyp = 4
/
ATOMIC_SPECIES
Pa 231.04 Pa.upf
Dy 162.50 Dy.upf
Os 190.23 Os.upf
Ga 69.72 Ga.upf
ATOMIC_POSITIONS crystal
Pa 0.750 0.750 0.750
Dy 0.250 0.250 0.250
Os 0.500 0.500 0.500
Ga 0.000 0.000 0.000
CELL_PARAMETERS angstrom
-1.666 4.342 1.686
-2.506 0.203 4.260
2.070 2.062 3.992
```



Material: Tb2Al4Cu3Au
Method: DFT, PBE
State: relaxed Values from VASP.

## Properties
DOS at the Fermi energy: 5.07 states/eV/f.u.
space group: No. 115
calculated total energy: -4.4691 eV/atom
crystal system: tetragonal
total magnetic moment: 0.00 μB/f.u.

Geometry as Quantum ESPRESSO input:
```
&SYSTEM
  ibrav = 0, nat = 10, ntyp = 4
/
ATOMIC_SPECIES
Cu 63.55 Cu.upf
Tb 158.93 Tb.upf
Al 26.98 Al.upf
Au 196.97 Au.upf
ATOMIC_POSITIONS crystal
Cu 0.000 0.500 0.129
Cu 0.500 0.000 0.871
Cu 0.000 0.000 0.500
Tb 0.500 0.000 0.247
Tb 0.000 0.500 0.753
Al 0.000 0.500 0.361
Al 0.500 0.500 0.000
Al 0.500 0.000 0.639
Al 0.000 0.000 0.000
Au 0.500 0.500 0.500
CELL_PARAMETERS angstrom
-3.614 -0.529 -2.054
1.045 -3.975 -0.814
-4.524 -2.977 8.727
```



Material: TbPr2Ho4Th
Method: DFT, PBE
State: relaxed Values from VASP.

## Properties
DOS at the Fermi energy: 17.91 states/eV/f.u.
space group: No. 15
calculated total energy: -4.5658 eV/atom
crystal system: monoclinic
total magnetic moment: 0.00 μB/f.u.

Geometry as Quantum ESPRESSO input:
```
&SYSTEM
  ibrav = 0, nat = 16, ntyp = 4
/
ATOMIC_SPECIES
Pr 140.91 Pr.upf
Tb 158.93 Tb.upf
Ho 164.93 Ho.upf
Th 232.04 Th.upf
ATOMIC_POSITIONS crystal
Pr 0.500 0.000 0.000
Pr 0.500 0.500 0.000
Pr 0.000 0.000 0.500
Pr 0.500 0.000 0.500
Tb 0.500 0.500 0.500
Tb 0.000 0.000 0.000
Ho 0.248 0.250 0.003
Ho 0.250 0.251 0.497
Ho 0.239 0.746 0.992
Ho 0.761 0.254 0.008
Ho 0.750 0.749 0.503
Ho 0.752 0.750 0.997
Ho 0.246 0.739 0.492
Ho 0.754 0.261 0.508
Th 0.000 0.500 0.500
Th 0.000 0.500 0.000
CELL_PARAMETERS angstrom
-4.844 7.683 -2.889
-6.179 -5.423 -4.823
4.846 -2.055 10.581
```



Material: LaRe2Pd
Method: DFT, PBE
State: relaxed Values from VASP.

## Properties
E above lowest polymorph: 0.0 kJ per mole of atoms
DOS at the Fermi energy: 4.34 states/eV/f.u.
space group: No. 122
crystal system: tetragonal
total magnetic moment: 0.00 μB/f.u.

Geometry as Quantum ESPRESSO input:
```
&SYSTEM
  ibrav = 0, nat = 8, ntyp = 3
/
ATOMIC_SPECIES
La 138.91 La.upf
Pd 106.42 Pd.upf
Re 186.21 Re.upf
ATOMIC_POSITIONS crystal
La 0.750 0.250 0.500
La 0.000 0.000 0.000
Pd 0.500 0.500 0.000
Pd 0.250 0.750 0.500
Re 0.540 0.125 0.250
Re 0.875 0.790 0.750
Re 0.375 0.460 0.750
Re 0.210 0.625 0.250
CELL_PARAMETERS angstrom
4.054 0.000 0.000
0.000 4.054 0.000
2.027 2.027 10.248
```



Material: ZrTaFe2
Method: DFT, PBE
State: relaxed Values from VASP.

## Properties
DOS at the Fermi energy: 2.65 states/eV/f.u.
space group: No. 166
calculated total energy: -9.1198 eV/atom
crystal system: trigonal
total magnetic moment: 1.98 μB/f.u.

Geometry as Quantum ESPRESSO input:
```
&SYSTEM
  ibrav = 0, nat = 4, ntyp = 3
/
ATOMIC_SPECIES
Fe 55.84 Fe.upf
Ta 180.95 Ta.upf
Zr 91.22 Zr.upf
ATOMIC_POSITIONS crystal
Fe 0.004 0.004 0.004
Fe 0.496 0.496 0.496
Ta 0.750 0.750 0.750
Zr 0.250 0.250 0.250
CELL_PARAMETERS angstrom
7.981 0.004 0.003
7.384 3.029 0.003
7.384 1.458 2.655
```



Material: HoFeCo2
Method: DFT, PBE
State: relaxed Values from VASP.

## Properties
E above lowest polymorph: 10.4 kJ per mole of atoms
DOS at the Fermi energy: 1.99 states/eV/f.u.
space group: No. 123
crystal system: tetragonal
total magnetic moment: 5.35 μB/f.u.

Geometry as Quantum ESPRESSO input:
```
&SYSTEM
  ibrav = 0, nat = 4, ntyp = 3
/
ATOMIC_SPECIES
Co 58.93 Co.upf
Ho 164.93 Ho.upf
Fe 55.84 Fe.upf
ATOMIC_POSITIONS crystal
Co 0.000 0.000 0.795
Co 0.000 0.000 0.205
Ho 0.500 0.500 0.500
Fe 0.500 0.500 0.000
CELL_PARAMETERS angstrom
3.077 0.000 0.000
0.000 3.077 0.000
0.000 0.000 6.273
```



Material: Sc2HgH
Method: DFT, PBE
State: relaxed Values from VASP.

## Properties
E above lowest polymorph: 0.0 kJ per mole of atoms
DOS at the Fermi energy: 4.01 states/eV/f.u.
space group: No. 12
crystal system: monoclinic
total magnetic moment: 0.18 μB/f.u.

Geometry as Quantum ESPRESSO input:
```
&SYSTEM
  ibrav = 0, nat = 8, ntyp = 3
/
ATOMIC_SPECIES
Sc 44.96 Sc.upf
Hg 200.59 Hg.upf
H 1.01 H.upf
ATOMIC_POSITIONS crystal
Sc 0.750 0.250 0.500
Sc 0.250 0.750 0.500
Sc 0.250 0.250 0.146
Sc 0.750 0.750 0.854
Hg 0.250 0.250 0.779
Hg 0.750 0.750 0.221
H 0.250 0.250 0.412
H 0.750 0.750 0.588
CELL_PARAMETERS angstrom
-1.531 -3.745 -1.035
3.735 -1.113 -1.499
2.033 -2.804 7.160
```



Material: YFeGe3Ru
Method: DFT, PBE
State: relaxed Values from VASP.

## Properties
DOS at the Fermi energy: 3.40 states/eV/f.u.
space group: No. 63
calculated total energy: -6.5280 eV/atom
crystal system: orthorhombic
total magnetic moment: 0.65 μB/f.u.

Geometry as Quantum ESPRESSO input:
```
&SYSTEM
  ibrav = 0, nat = 12, ntyp = 4
/
ATOMIC_SPECIES
Fe 55.84 Fe.upf
Ge 72.64 Ge.upf
Y 88.91 Y.upf
Ru 101.07 Ru.upf
ATOMIC_POSITIONS crystal
Fe 0.750 0.961 0.922
Fe 0.250 0.039 0.078
Ge 0.500 0.759 0.000
Ge 0.000 0.759 0.000
Ge 0.250 0.240 0.480
Ge 0.000 0.241 0.000
Ge 0.500 0.241 0.000
Ge 0.750 0.760 0.520
Y 0.750 0.251 0.502
Y 0.250 0.749 0.498
Ru 0.250 0.453 0.906
Ru 0.750 0.547 0.094
CELL_PARAMETERS angstrom
-1.762 -5.237 -1.012
4.664 -2.623 5.461
-6.283 1.931 0.942
```



Material: RbBa2TeO6
Method: DFT, PBE
State: relaxed Values from VASP.

## Properties
DOS at the Fermi energy: 7.50 states/eV/f.u.
space group: No. 14
calculated total energy: -5.6188 eV/atom
crystal system: monoclinic
total magnetic moment: 1.08 μB/f.u.

Geometry as Quantum ESPRESSO input:
```
&SYSTEM
  ibrav = 0, nat = 20, ntyp = 4
/
ATOMIC_SPECIES
O 16.00 O.upf
Te 127.60 Te.upf
Ba 137.33 Ba.upf
Rb 85.47 Rb.upf
ATOMIC_POSITIONS crystal
O 0.743 0.341 0.964
O 0.243 0.159 0.464
O 0.147 0.259 0.076
O 0.257 0.659 0.036
O 0.605 0.065 0.299
O 0.853 0.741 0.924
O 0.895 0.565 0.201
O 0.395 0.935 0.701
O 0.353 0.759 0.424
O 0.757 0.841 0.536
O 0.105 0.435 0.799
O 0.647 0.241 0.576
Te 0.500 0.000 0.500
Te 0.000 0.500 0.000
Ba 0.515 0.548 0.758
Ba 0.485 0.452 0.242
Ba 0.015 0.952 0.258
Ba 0.985 0.048 0.742
Rb 0.000 0.500 0.500
Rb 0.500 0.000 0.000
CELL_PARAMETERS angstrom
6.258 0.000 0.039
0.000 6.612 0.000
0.110 0.000 8.950
```